LaAgRh2 | PBE | optimized geometry

* E_tot: -23.84 eV per formula unit
* spin magnetization: 0.0 μB/cell
* theoretical density: 9.987 g cm⁻³

Cell and atoms, written as CIF:
```
data_LaAgRh2
_chemical_formula_sum 'La1 Ag1 Rh2'
_space_group_name_H-M_alt 'P 4/m m m'
_space_group_IT_number 123
_space_group_name_Hall '-P 4 2'
_cell_length_a 4.352
_cell_length_b 4.352
_cell_length_c 3.974
_cell_angle_alpha 90.00
_cell_angle_beta 90.00
_cell_angle_gamma 90.00
loop_
_atom_site_label
_atom_site_type_symbol
_atom_site_fract_x
_atom_site_fract_y
_atom_site_fract_z
La1 La 0.000 0.000 0.000
Ag1 Ag 0.500 0.500 0.000
Rh1 Rh 0.000 0.500 0.500
```